# 1
{
  "formula": "Sm7Tl2Bi2",
  "functional": "PBE-GGA",
  "state": "optimized geometry",
  "m_tot_mub_per_fu": 0.0,
  "energy_ev_per_cell": -47.19,
  "cell": [[4.774, -5.680, 0.000], [4.774, 5.680, 0.000], [0.000, 0.000, 7.162]],
  "species": ["Sm", "Sm", "Sm", "Sm", "Sm", "Sm", "Sm", "Tl", "Tl", "Bi", "Bi"],
  "fractional_positions": [[0.000, 0.000, 0.000], [0.000, 0.500, 0.272], [0.000, 0.500, 0.728], [0.500, 0.000, 0.272], [0.500, 0.000, 0.728], [0.500, 0.500, 0.259], [0.500, 0.500, 0.741], [0.275, 0.725, 0.000], [0.725, 0.275, 0.000], [0.192, 0.192, 0.500], [0.808, 0.808, 0.500]]
}

# 2
{
  "formula": "Sc2ZnPtSe",
  "functional": "PBE-GGA",
  "state": "optimized geometry",
  "m_tot_mub_per_fu": 0.0,
  "e_form_raw_mev_per_atom": 238,
  "cell": [[5.061, 0.000, 0.000], [0.000, 5.061, 0.000], [0.000, 0.000, 4.466]],
  "species": ["Sc", "Sc", "Zn", "Pt", "Se"],
  "fractional_positions": [[0.000, 0.500, 0.000], [0.500, 0.000, 0.000], [0.000, 0.000, 0.000], [0.500, 0.500, 0.500], [0.000, 0.000, 0.500]]
}

# 3
{
  "formula": "TmSb2Pd7Pb2",
  "functional": "PBE-GGA",
  "state": "optimized geometry",
  "m_tot_mub_per_fu": 0.0,
  "e_form_raw_mev_per_atom": -488,
  "cell": [[2.885, -2.887, 0.000], [2.885, 2.887, 0.000], [-1.434, 0.000, 15.199]],
  "species": ["Tm", "Sb", "Sb", "Pd", "Pd", "Pd", "Pd", "Pd", "Pd", "Pd", "Pb", "Pb"],
  "fractional_positions": [[0.000, 0.000, 0.000], [0.436, 0.436, 0.752], [0.564, 0.564, 0.248], [0.036, 0.535, 0.137], [0.386, 0.386, 0.577], [0.465, 0.964, 0.863], [0.500, 0.500, 0.000], [0.535, 0.036, 0.137], [0.614, 0.614, 0.423], [0.964, 0.465, 0.863], [0.119, 0.119, 0.401], [0.881, 0.881, 0.599]]
}